No. 1
# ThH8Pd2 PBE-GGA optimized geometry
# Calculated total energy, eV/f.u.: -45.34
# Theoretical density, g/cm3: 7.52
# Fermi-level density of states, states/eV/atom: 0.170
data_ThH8Pd2
_space_group_name_H-M_alt 'C 1 2/m 1'
_space_group_IT_number 12
_cell_length_a 5.8494
_cell_length_b 4.6178
_cell_length_c 7.4237
_cell_angle_alpha 90.00
_cell_angle_beta 93.76
_cell_angle_gamma 90.00
loop_
_space_group_symop_operation_xyz
'x,y,z'
'-x,-y,-z'
'-x,y,-z'
'x,-y,z'
'x+1/2,y+1/2,z'
'-x+1/2,-y+1/2,-z'
'-x+1/2,y+1/2,-z'
'x+1/2,-y+1/2,z'
loop_
_atom_site_label
_atom_site_type_symbol
_atom_site_fract_x
_atom_site_fract_y
_atom_site_fract_z
Th1 Th 0.0000 0.0000 0.0000
H1 H 0.1230 0.5000 0.9380
H2 H 0.1454 0.5000 0.5018
H3 H 0.2354 0.2554 0.2651
Pd1 Pd 0.0002 0.5000 0.2954

---

No. 2
# NiTe2I PBE-GGA optimized geometry
# Energy relative to the elements, uncorrected, eV/f.u.: 0.21
# Theoretical density, g/cm3: 6.58
# Fermi-level density of states, states/eV/atom: 0.664
data_NiTe2I
_space_group_name_H-M_alt 'C 1 c 1'
_space_group_IT_number 9
_cell_length_a 7.6118
_cell_length_b 9.2754
_cell_length_c 7.3634
_cell_angle_alpha 90.00
_cell_angle_beta 121.08
_cell_angle_gamma 90.00
loop_
_space_group_symop_operation_xyz
'x,y,z'
'x,-y,z+1/2'
'x+1/2,y+1/2,z'
'x+1/2,-y+1/2,z+1/2'
loop_
_atom_site_label
_atom_site_type_symbol
_atom_site_fract_x
_atom_site_fract_y
_atom_site_fract_z
Ni1 Ni 0.0000 0.1254 0.0000
Te1 Te 0.2110 0.1912 0.3933
Te2 Te 0.3195 0.4389 0.1064
I1 I 0.3526 0.1224 0.0013

---

- Which formula does entry 1 have?
  ThH8Pd2